one) Below is KYCr2 at its PBEsol-relaxed geometry, with properties calculated at the meta-GGA SCAN level.

```
data_KYCr2
_chemical_formula_sum 'K1 Y1 Cr2'
_cell_length_a 3.164
_cell_length_b 3.164
_cell_length_c 9.466
_cell_angle_alpha 90.00
_cell_angle_beta 90.00
_cell_angle_gamma 90.00
_symmetry_space_group_name_H-M 'P 4 m m'
_symmetry_Int_Tables_number 99
_symmetry_space_group_name_Hall 'P 4 -2'
loop_
_atom_site_label
_atom_site_fract_x
_atom_site_fract_y
_atom_site_fract_z
K1 0.000 0.000 0.000
Y1 0.500 0.500 0.390
Cr1 0.000 0.000 0.606
Cr2 0.500 0.500 0.705
```



two) Below is KYCr2 at its PBEsol-relaxed geometry, with properties calculated at the meta-GGA SCAN level.

```
data_KYCr2
_chemical_formula_sum 'K1 Y1 Cr2'
_cell_length_a 3.531
_cell_length_b 3.531
_cell_length_c 8.679
_cell_angle_alpha 90.00
_cell_angle_beta 90.00
_cell_angle_gamma 90.00
_symmetry_space_group_name_H-M 'P 4/m m m'
_symmetry_Int_Tables_number 123
_symmetry_space_group_name_Hall '-P 4 2'
loop_
_atom_site_label
_atom_site_fract_x
_atom_site_fract_y
_atom_site_fract_z
K1 0.000 0.000 0.000
Y1 0.000 0.000 0.500
Cr1 0.500 0.500 0.304
```



Least stable of them? two).



one) Below is LaMnCr2 at its PBEsol-relaxed geometry, with properties calculated at the meta-GGA SCAN level.

```
data_LaMnCr2
_chemical_formula_sum 'La4 Mn4 Cr8'
_cell_length_a 6.308
_cell_length_b 6.308
_cell_length_c 6.308
_cell_angle_alpha 90.00
_cell_angle_beta 90.00
_cell_angle_gamma 90.00
_symmetry_space_group_name_H-M 'F -4 3 m'
_symmetry_Int_Tables_number 216
_symmetry_space_group_name_Hall 'F -4 2 3'
loop_
_atom_site_label
_atom_site_fract_x
_atom_site_fract_y
_atom_site_fract_z
La1 0.000 0.000 0.000
Mn1 0.250 0.250 0.250
Cr1 0.000 0.000 0.500
Cr2 0.250 0.250 0.750
```



two) Below is LaMnCr2 at its PBEsol-relaxed geometry, with properties calculated at the meta-GGA SCAN level.

```
data_LaMnCr2
_chemical_formula_sum 'La3 Mn3 Cr6'
_cell_length_a 3.8537
_cell_length_b 3.8537
_cell_length_c 16.4918
_cell_angle_alpha 90.00
_cell_angle_beta 90.00
_cell_angle_gamma 120.00
_symmetry_space_group_name_H-M 'R -3 m'
_symmetry_Int_Tables_number 166
_symmetry_space_group_name_Hall '-R 3 2"'
loop_
_atom_site_label
_atom_site_fract_x
_atom_site_fract_y
_atom_site_fract_z
La1 0.0000 0.0000 0.0000
Mn1 0.0000 0.0000 0.5000
Cr1 0.0000 0.0000 0.1989
```



Least stable of them? two).



one) Below is LaCrSN2 at its PBEsol-relaxed geometry, with properties calculated at the meta-GGA SCAN level.

```
data_LaCrSN2
_chemical_formula_sum 'La1 Cr1 S1 N2'
_cell_length_a 4.043
_cell_length_b 4.043
_cell_length_c 5.907
_cell_angle_alpha 90.00
_cell_angle_beta 90.00
_cell_angle_gamma 90.00
_symmetry_space_group_name_H-M 'P 4/m m m'
_symmetry_Int_Tables_number 123
_symmetry_space_group_name_Hall '-P 4 2'
loop_
_atom_site_label
_atom_site_fract_x
_atom_site_fract_y
_atom_site_fract_z
La1 0.000 0.000 0.000
Cr1 0.500 0.500 0.500
S1 0.000 0.000 0.500
N1 0.000 0.500 0.000
```



two) Below is LaCrSN2 at its PBEsol-relaxed geometry, with properties calculated at the meta-GGA SCAN level.

```
data_LaCrSN2
_chemical_formula_sum 'La1 Cr1 S1 N2'
_cell_length_a 3.860
_cell_length_b 3.860
_cell_length_c 4.558
_cell_angle_alpha 90.00
_cell_angle_beta 90.00
_cell_angle_gamma 90.00
_symmetry_space_group_name_H-M 'P 4/m m m'
_symmetry_Int_Tables_number 123
_symmetry_space_group_name_Hall '-P 4 2'
loop_
_atom_site_label
_atom_site_fract_x
_atom_site_fract_y
_atom_site_fract_z
La1 0.000 0.000 0.000
Cr1 0.500 0.500 0.500
S1 0.500 0.500 0.000
N1 0.000 0.500 0.500
```



Least stable of them? one).



one) Below is LaNbCr3 at its PBEsol-relaxed geometry, with properties calculated at the meta-GGA SCAN level.

```
data_LaNbCr3
_chemical_formula_sum 'La1 Nb1 Cr3'
_cell_length_a 4.404
_cell_length_b 4.404
_cell_length_c 4.404
_cell_angle_alpha 90.00
_cell_angle_beta 90.00
_cell_angle_gamma 90.00
_symmetry_space_group_name_H-M 'P m -3 m'
_symmetry_Int_Tables_number 221
_symmetry_space_group_name_Hall '-P 4 2 3'
loop_
_atom_site_label
_atom_site_fract_x
_atom_site_fract_y
_atom_site_fract_z
La1 0.000 0.000 0.000
Nb1 0.500 0.500 0.500
Cr1 0.000 0.000 0.500
```



two) Below is LaNbCr3 at its PBEsol-relaxed geometry, with properties calculated at the meta-GGA SCAN level.

```
data_LaNbCr3
_chemical_formula_sum 'La1 Nb1 Cr3'
_cell_length_a 4.726
_cell_length_b 4.726
_cell_length_c 4.726
_cell_angle_alpha 90.00
_cell_angle_beta 90.00
_cell_angle_gamma 90.00
_symmetry_space_group_name_H-M 'P m -3 m'
_symmetry_Int_Tables_number 221
_symmetry_space_group_name_Hall '-P 4 2 3'
loop_
_atom_site_label
_atom_site_fract_x
_atom_site_fract_y
_atom_site_fract_z
La1 0.000 0.000 0.000
Nb1 0.500 0.500 0.500
Cr1 0.000 0.500 0.500
```



Least stable of them? one).



one) Below is LaCrOs2 at its PBEsol-relaxed geometry, with properties calculated at the meta-GGA SCAN level.

```
data_LaCrOs2
_chemical_formula_sum 'La1 Cr1 Os2'
_cell_length_a 2.791
_cell_length_b 3.650
_cell_length_c 6.947
_cell_angle_alpha 90.00
_cell_angle_beta 90.00
_cell_angle_gamma 90.00
_symmetry_space_group_name_H-M 'P m m 2'
_symmetry_Int_Tables_number 25
_symmetry_space_group_name_Hall 'P 2 -2'
loop_
_atom_site_label
_atom_site_fract_x
_atom_site_fract_y
_atom_site_fract_z
La1 0.000 0.000 0.000
Cr1 0.500 0.500 0.653
Os1 0.000 0.000 0.507
Os2 0.500 0.500 0.306
```



two) Below is LaCrOs2 at its PBEsol-relaxed geometry, with properties calculated at the meta-GGA SCAN level.

```
data_LaCrOs2
_chemical_formula_sum 'La1 Cr1 Os2'
_cell_length_a 4.629
_cell_length_b 4.629
_cell_length_c 3.246
_cell_angle_alpha 90.00
_cell_angle_beta 90.00
_cell_angle_gamma 90.00
_symmetry_space_group_name_H-M 'P 4/m m m'
_symmetry_Int_Tables_number 123
_symmetry_space_group_name_Hall '-P 4 2'
loop_
_atom_site_label
_atom_site_fract_x
_atom_site_fract_y
_atom_site_fract_z
La1 0.000 0.000 0.000
Cr1 0.500 0.500 0.000
Os1 0.000 0.500 0.500
```



Least stable of them? two).



one) Below is La2CrOs at its PBEsol-relaxed geometry, with properties calculated at the meta-GGA SCAN level.

```
data_La2CrOs
_chemical_formula_sum 'La6 Cr3 Os3'
_cell_length_a 4.0714
_cell_length_b 4.0714
_cell_length_c 19.8232
_cell_angle_alpha 90.00
_cell_angle_beta 90.00
_cell_angle_gamma 120.00
_symmetry_space_group_name_H-M 'R 3 m'
_symmetry_Int_Tables_number 160
_symmetry_space_group_name_Hall 'R 3 -2"'
loop_
_atom_site_label
_atom_site_fract_x
_atom_site_fract_y
_atom_site_fract_z
La1 0.0000 0.0000 0.0000
La2 0.0000 0.0000 0.2009
Cr1 0.0000 0.0000 0.7813
Os1 0.0000 0.0000 0.4214
```



two) Below is La2CrOs at its PBEsol-relaxed geometry, with properties calculated at the meta-GGA SCAN level.

```
data_La2CrOs
_chemical_formula_sum 'La2 Cr1 Os1'
_cell_length_a 3.075
_cell_length_b 3.822
_cell_length_c 8.025
_cell_angle_alpha 90.00
_cell_angle_beta 95.90
_cell_angle_gamma 90.00
_symmetry_space_group_name_H-M 'P 1 m 1'
_symmetry_Int_Tables_number 6
_symmetry_space_group_name_Hall 'P -2y'
loop_
_atom_site_label
_atom_site_fract_x
_atom_site_fract_y
_atom_site_fract_z
La1 0.000 0.000 0.000
La2 0.255 0.500 0.589
Cr1 0.825 0.000 0.340
Os1 0.464 0.500 0.244
```



Least stable of them? two).



one) Below is LaCrP2 at its PBEsol-relaxed geometry, with properties calculated at the meta-GGA SCAN level.

```
data_LaCrP2
_chemical_formula_sum 'La2 Cr2 P4'
_cell_length_a 3.163
_cell_length_b 3.430
_cell_length_c 13.133
_cell_angle_alpha 90.00
_cell_angle_beta 90.00
_cell_angle_gamma 90.00
_symmetry_space_group_name_H-M 'I m m 2'
_symmetry_Int_Tables_number 44
_symmetry_space_group_name_Hall 'I 2 -2'
loop_
_atom_site_label
_atom_site_fract_x
_atom_site_fract_y
_atom_site_fract_z
La1 0.000 0.000 0.000
Cr1 0.000 0.500 0.252
P1 0.000 0.000 0.628
P2 0.000 0.500 0.818
```



two) Below is LaCrP2 at its PBEsol-relaxed geometry, with properties calculated at the meta-GGA SCAN level.

```
data_LaCrP2
_chemical_formula_sum 'La4 Cr4 P8'
_cell_length_a 6.680
_cell_length_b 6.680
_cell_length_c 6.680
_cell_angle_alpha 90.00
_cell_angle_beta 90.00
_cell_angle_gamma 90.00
_symmetry_space_group_name_H-M 'F m -3 m'
_symmetry_Int_Tables_number 225
_symmetry_space_group_name_Hall '-F 4 2 3'
loop_
_atom_site_label
_atom_site_fract_x
_atom_site_fract_y
_atom_site_fract_z
La1 0.000 0.000 0.000
Cr1 0.000 0.000 0.500
P1 0.250 0.250 0.250
```



Least stable of them? two).



one) Below is La2CrRe at its PBEsol-relaxed geometry, with properties calculated at the meta-GGA SCAN level.

```
data_La2CrRe
_chemical_formula_sum 'La2 Cr1 Re1'
_cell_length_a 3.107
_cell_length_b 3.863
_cell_length_c 7.889
_cell_angle_alpha 90.00
_cell_angle_beta 96.26
_cell_angle_gamma 90.00
_symmetry_space_group_name_H-M 'P 1 m 1'
_symmetry_Int_Tables_number 6
_symmetry_space_group_name_Hall 'P -2y'
loop_
_atom_site_label
_atom_site_fract_x
_atom_site_fract_y
_atom_site_fract_z
La1 0.000 0.000 0.000
La2 0.249 0.500 0.591
Cr1 0.814 0.000 0.346
Re1 0.455 0.500 0.247
```



two) Below is La2CrRe at its PBEsol-relaxed geometry, with properties calculated at the meta-GGA SCAN level.

```
data_La2CrRe
_chemical_formula_sum 'La2 Cr1 Re1'
_cell_length_a 3.580
_cell_length_b 3.580
_cell_length_c 7.173
_cell_angle_alpha 90.00
_cell_angle_beta 90.00
_cell_angle_gamma 90.00
_symmetry_space_group_name_H-M 'P 4/m m m'
_symmetry_Int_Tables_number 123
_symmetry_space_group_name_Hall '-P 4 2'
loop_
_atom_site_label
_atom_site_fract_x
_atom_site_fract_y
_atom_site_fract_z
La1 0.000 0.000 0.236
Cr1 0.500 0.500 0.500
Re1 0.500 0.500 0.000
```



Least stable of them? two).



one) Below is LaCrRu2 at its PBEsol-relaxed geometry, with properties calculated at the meta-GGA SCAN level.

```
data_LaCrRu2
_chemical_formula_sum 'La3 Cr3 Ru6'
_cell_length_a 2.8369
_cell_length_b 2.8369
_cell_length_c 27.5284
_cell_angle_alpha 90.00
_cell_angle_beta 90.00
_cell_angle_gamma 120.00
_symmetry_space_group_name_H-M 'R -3 m'
_symmetry_Int_Tables_number 166
_symmetry_space_group_name_Hall '-R 3 2"'
loop_
_atom_site_label
_atom_site_fract_x
_atom_site_fract_y
_atom_site_fract_z
La1 0.0000 0.0000 0.0000
Cr1 0.0000 0.0000 0.5000
Ru1 0.0000 0.0000 0.2346
```



two) Below is LaCrRu2 at its PBEsol-relaxed geometry, with properties calculated at the meta-GGA SCAN level.

```
data_LaCrRu2
_chemical_formula_sum 'La3 Cr3 Ru6'
_cell_length_a 2.7996
_cell_length_b 2.7996
_cell_length_c 28.2138
_cell_angle_alpha 90.00
_cell_angle_beta 90.00
_cell_angle_gamma 120.00
_symmetry_space_group_name_H-M 'R 3 m'
_symmetry_Int_Tables_number 160
_symmetry_space_group_name_Hall 'R 3 -2"'
loop_
_atom_site_label
_atom_site_fract_x
_atom_site_fract_y
_atom_site_fract_z
La1 0.0000 0.0000 0.0000
Cr1 0.0000 0.0000 0.7604
Ru1 0.0000 0.0000 0.2361
Ru2 0.0000 0.0000 0.4951
```



three) Below is LaCrRu2 at its PBEsol-relaxed geometry, with properties calculated at the meta-GGA SCAN level.

```
data_LaCrRu2
_chemical_formula_sum 'La2 Cr2 Ru4'
_cell_length_a 4.352
_cell_length_b 4.352
_cell_length_c 6.932
_cell_angle_alpha 90.00
_cell_angle_beta 90.00
_cell_angle_gamma 90.00
_symmetry_space_group_name_H-M 'I -4 m 2'
_symmetry_Int_Tables_number 119
_symmetry_space_group_name_Hall 'I -4 -2'
loop_
_atom_site_label
_atom_site_fract_x
_atom_site_fract_y
_atom_site_fract_z
La1 0.000 0.000 0.000
Cr1 0.000 0.500 0.750
Ru1 0.000 0.000 0.500
Ru2 0.000 0.500 0.250
```



four) Below is LaCrRu2 at its PBEsol-relaxed geometry, with properties calculated at the meta-GGA SCAN level.

```
data_LaCrRu2
_chemical_formula_sum 'La2 Cr2 Ru4'
_cell_length_a 9.515
_cell_length_b 2.985
_cell_length_c 5.124
_cell_angle_alpha 90.00
_cell_angle_beta 104.17
_cell_angle_gamma 90.00
_symmetry_space_group_name_H-M 'C 1 m 1'
_symmetry_Int_Tables_number 8
_symmetry_space_group_name_Hall 'C -2y'
loop_
_atom_site_label
_atom_site_fract_x
_atom_site_fract_y
_atom_site_fract_z
La1 0.000 0.000 0.000
Cr1 0.283 0.500 0.341
Ru1 0.003 0.500 0.512
Ru2 0.233 0.000 0.668
```



Least stable of them? two).



one) Below is SrLa2Cr at its PBEsol-relaxed geometry, with properties calculated at the meta-GGA SCAN level.

```
data_SrLa2Cr
_chemical_formula_sum 'Sr1 La2 Cr1'
_cell_length_a 3.749
_cell_length_b 3.749
_cell_length_c 9.176
_cell_angle_alpha 90.00
_cell_angle_beta 90.00
_cell_angle_gamma 90.00
_symmetry_space_group_name_H-M 'P 4 m m'
_symmetry_Int_Tables_number 99
_symmetry_space_group_name_Hall 'P 4 -2'
loop_
_atom_site_label
_atom_site_fract_x
_atom_site_fract_y
_atom_site_fract_z
Sr1 0.000 0.000 0.000
La1 0.000 0.000 0.405
La2 0.500 0.500 0.667
Cr1 0.500 0.500 0.232
```



two) Below is SrLa2Cr at its PBEsol-relaxed geometry, with properties calculated at the meta-GGA SCAN level.

```
data_SrLa2Cr
_chemical_formula_sum 'Sr2 La4 Cr2'
_cell_length_a 4.863
_cell_length_b 4.863
_cell_length_c 10.500
_cell_angle_alpha 90.00
_cell_angle_beta 90.00
_cell_angle_gamma 90.00
_symmetry_space_group_name_H-M 'I -4 m 2'
_symmetry_Int_Tables_number 119
_symmetry_space_group_name_Hall 'I -4 -2'
loop_
_atom_site_label
_atom_site_fract_x
_atom_site_fract_y
_atom_site_fract_z
Sr1 0.000 0.000 0.000
La1 0.000 0.000 0.500
La2 0.000 0.500 0.250
Cr1 0.000 0.500 0.750
```



Least stable of them? two).



one) Below is LaTa2Cr at its PBEsol-relaxed geometry, with properties calculated at the meta-GGA SCAN level.

```
data_LaTa2Cr
_chemical_formula_sum 'La2 Ta4 Cr2'
_cell_length_a 10.902
_cell_length_b 3.233
_cell_length_c 4.712
_cell_angle_alpha 90.00
_cell_angle_beta 114.64
_cell_angle_gamma 90.00
_symmetry_space_group_name_H-M 'C 1 2/m 1'
_symmetry_Int_Tables_number 12
_symmetry_space_group_name_Hall '-C 2y'
loop_
_atom_site_label
_atom_site_fract_x
_atom_site_fract_y
_atom_site_fract_z
La1 0.000 0.000 0.000
Ta1 0.232 0.000 0.730
Cr1 0.000 0.500 0.500
```



two) Below is LaTa2Cr at its PBEsol-relaxed geometry, with properties calculated at the meta-GGA SCAN level.

```
data_LaTa2Cr
_chemical_formula_sum 'La2 Ta4 Cr2'
_cell_length_a 3.187
_cell_length_b 4.904
_cell_length_c 9.431
_cell_angle_alpha 90.00
_cell_angle_beta 90.00
_cell_angle_gamma 90.00
_symmetry_space_group_name_H-M 'C m m 2'
_symmetry_Int_Tables_number 35
_symmetry_space_group_name_Hall 'C 2 -2'
loop_
_atom_site_label
_atom_site_fract_x
_atom_site_fract_y
_atom_site_fract_z
La1 0.000 0.000 0.000
Ta1 0.000 0.000 0.451
Ta2 0.000 0.500 0.694
Cr1 0.000 0.500 0.250
```



Least stable of them? one).



one) Below is LaTaCr at its PBEsol-relaxed geometry, with properties calculated at the meta-GGA SCAN level.

```
data_LaTaCr
_chemical_formula_sum 'La4 Ta4 Cr4'
_cell_length_a 6.436
_cell_length_b 6.436
_cell_length_c 6.436
_cell_angle_alpha 90.00
_cell_angle_beta 90.00
_cell_angle_gamma 90.00
_symmetry_space_group_name_H-M 'F -4 3 m'
_symmetry_Int_Tables_number 216
_symmetry_space_group_name_Hall 'F -4 2 3'
loop_
_atom_site_label
_atom_site_fract_x
_atom_site_fract_y
_atom_site_fract_z
La1 0.000 0.000 0.000
Ta1 0.250 0.250 0.250
Cr1 0.250 0.250 0.750
```



two) Below is LaTaCr at its PBEsol-relaxed geometry, with properties calculated at the meta-GGA SCAN level.

```
data_LaTaCr
_chemical_formula_sum 'La1 Ta1 Cr1'
_cell_length_a 4.4914
_cell_length_b 4.4914
_cell_length_c 3.2267
_cell_angle_alpha 90.00
_cell_angle_beta 90.00
_cell_angle_gamma 120.00
_symmetry_space_group_name_H-M 'P 3 m 1'
_symmetry_Int_Tables_number 156
_symmetry_space_group_name_Hall 'P 3 -2"'
loop_
_atom_site_label
_atom_site_fract_x
_atom_site_fract_y
_atom_site_fract_z
La1 0.0000 0.0000 0.0000
Ta1 0.3333 0.6667 0.3965
Cr1 0.6667 0.3333 0.6698
```



Least stable of them? one).